# 1
Compound: Ho5ThMg6
Source: the Alexandria database
Functional: GGA-PBE
Structure: optimized geometry

Results
Space-group type: P2/m, No. 10
DFT total energy: -3.372 eV/atom

Unit cell a=5.3448 b=7.5792 c=8.4503 alpha=90.00 beta=71.62 gamma=90.00
Sites, in units of the cell vectors:
Mg 0.8305 0.7474 0.3382
Mg 0.8305 0.2526 0.3382
Mg 0.5000 0.2547 0.0000
Mg 0.5000 0.7453 0.0000
Mg 0.1695 0.7474 0.6618
Mg 0.1695 0.2526 0.6618
Ho 0.6655 0.5000 0.6695
Ho 0.3346 0.0000 0.3304
Ho 0.0000 0.5000 0.0000
Ho 0.6654 0.0000 0.6696
Ho 0.3345 0.5000 0.3305
Th 0.0000 0.0000 0.0000

# 2
Compound: Ho8ThMg2
Source: the Alexandria database
Functional: GGA-PBE
Structure: optimized geometry

Results
Space-group type: C2/m, No. 12
ΔE to the lowest computed polymorph: 0 meV per atom

Unit cell a=5.0032 b=7.8717 c=9.1090 alpha=106.55 beta=105.94 gamma=90.00
Sites, in units of the cell vectors:
Ho 0.5931 0.4566 0.1862
Ho 0.3180 0.0735 0.6359
Ho 0.1376 0.1917 0.2753
Ho 0.0479 0.7350 0.0958
Ho 0.8624 0.8083 0.7247
Ho 0.6820 0.9265 0.3641
Ho 0.4069 0.5434 0.8138
Ho 0.9521 0.2650 0.9042
Th 0.5000 0.0000 0.0000
Mg 0.2280 0.6354 0.4560
Mg 0.7720 0.3646 0.5440

# 3
Compound: Ho2ThMg
Source: the Alexandria database
Functional: GGA-PBE
Structure: optimized geometry

Results
Space-group type: Cm, No. 8
ΔE to the lowest computed polymorph: 68 meV per atom

Unit cell a=3.5272 b=3.5272 c=11.3556 alpha=80.94 beta=80.94 gamma=59.95
Sites, in units of the cell vectors:
Ho 0.0844 0.0844 0.7497
Ho 0.2491 0.2491 0.2507
Th 0.6668 0.6668 0.0000
Mg 0.4997 0.4997 0.4997

# 4
Compound: Ho8ThMg2
Source: the Alexandria database
Functional: GGA-PBE
Structure: optimized geometry

Results
Space-group type: C2/m, No. 12
ΔE to the lowest computed polymorph: 132 meV per atom

Unit cell a=5.5487 b=8.8529 c=8.8529 alpha=121.01 beta=101.38 gamma=101.38
Sites, in units of the cell vectors:
Ho 0.8722 0.9057 0.6848
Ho 0.8722 0.6848 0.9057
Ho 0.2947 0.5937 0.5937
Ho 0.5000 0.7830 0.2170
Ho 0.5000 0.2170 0.7830
Ho 0.7053 0.4063 0.4063
Ho 0.1278 0.3152 0.0943
Ho 0.1278 0.0943 0.3152
Th 0.5000 0.0000 0.0000
Mg 0.0000 0.3083 0.6917
Mg 0.0000 0.6917 0.3083

# 5
Compound: HoThMg14
Source: the Alexandria database
Functional: GGA-PBE
Structure: optimized geometry

Results
Space-group type: P4/mmm, No. 123
DFT total energy: -2.135 eV/atom

Unit cell a=6.8825 b=6.8825 c=8.2035 alpha=90.00 beta=90.00 gamma=89.98
Sites, in units of the cell vectors:
Ho 0.8750 0.8750 0.5000
Th 0.3750 0.3750 0.5000
Mg 0.8750 0.8750 0.0000
Mg 0.3750 0.3750 0.0000
Mg 0.8750 0.3750 0.5000
Mg 0.8750 0.3750 0.0000
Mg 0.3750 0.8750 0.5000
Mg 0.3750 0.8750 0.0000
Mg 0.6271 0.1229 0.2376
Mg 0.6271 0.1229 0.7624
Mg 0.1229 0.6271 0.2376
Mg 0.1229 0.6271 0.7624
Mg 0.6268 0.6268 0.2375
Mg 0.6268 0.6268 0.7625
Mg 0.1232 0.1232 0.2375
Mg 0.1232 0.1232 0.7625

# 6
Compound: Ho2ThMg2
Source: the Alexandria database
Functional: GGA-PBE
Structure: optimized geometry

Results
Space-group type: Cmmm, No. 65
DFT total energy: -3.910 eV/atom

Unit cell a=3.4605 b=3.5005 c=12.2819 alpha=81.81 beta=90.00 gamma=90.00
Sites, in units of the cell vectors:
Ho 0.5000 0.3984 0.2031
Ho 0.5000 0.6016 0.7969
Th 0.0000 0.0000 0.0000
Mg 0.0000 0.1975 0.6050
Mg 0.0000 0.8025 0.3950

Number 1: DOS(E_F) 12.75 states/eV per cell. Number 2: DOS(E_F) 17.65 states/eV per cell. Number 3: DOS(E_F) 5.50 states/eV per cell. Number 4: DOS(E_F) 13.93 states/eV per cell. Number 5: DOS(E_F) 9.68 states/eV per cell. Number 6: DOS(E_F) 4.27 states/eV per cell.